# 1
Below is SrRePb after structural relaxation, with properties calculated at the PBE level.

## Properties
SG	No. 156
energy above the lowest structure with this stoichiometry	241	meV/atom
M_tot	0.4	μB/f.u.
DFT total energy	-4.996	eV per atom

Unit cell a=3.4627 b=3.4627 c=7.3525 alpha=90.00 beta=90.00 gamma=120.00
Site moments in Bohr magnetons follow the coordinates.
Element x y z (fractional)
Pb  0.0000  0.0000  0.0435  0.00
Re  0.6667  0.3333  0.3166  0.27
Sr  0.3333  0.6667  0.6399  0.02

---

# 2
Below is NpPaMnCo after structural relaxation, with properties calculated at the PBE level.

## Properties
SG	No. 216
M_tot	0.2	μB/f.u.
DFT total energy	-9.736	eV per atom

Unit cell a=4.5272 b=4.5272 c=4.5272 alpha=60.00 beta=60.00 gamma=60.00
Site moments in Bohr magnetons follow the coordinates.
Element x y z (fractional)
Np  0.2500  0.2500  0.2500  -3.04
Pa  0.0000  0.0000  0.0000  -0.68
Co  0.5000  0.5000  0.5000  0.96
Mn  0.7500  0.7500  0.7500  2.55